Version one
## Li3PbS (PBE)

Data for a relaxed structure of Li3PbS.

Unit cell a=5.190 b=5.190 c=5.190 alpha=90.00 beta=90.00 gamma=90.00
Each line ends with the local moment (μB).
Fractional coordinates of all 5 atoms:
S (0.500, 0.500, 0.500)  0.46
Pb (0.000, 0.000, 0.000)  0.68
Li (0.000, 0.500, 0.000)  0.03
Li (0.500, 0.000, 0.000)  0.02
Li (0.000, 0.000, 0.500)  0.04



Version two
## Li3PbS (PBE)

Data for a relaxed structure of Li3PbS.

Unit cell a=4.661 b=4.661 c=4.661 alpha=90.00 beta=90.00 gamma=90.00
Fractional coordinates of all 5 atoms:
Pb (0.500, 0.500, 0.500)
Li (0.500, 0.000, 0.000)
Li (0.000, 0.500, 0.000)
Li (0.000, 0.000, 0.500)
S (0.000, 0.000, 0.000)



Tell me which of them is the most stable. Sure, it is version two.



Version one
## Li2Sb2Pb (PBE)

Data for a relaxed structure of Li2Sb2Pb.

Unit cell a=4.629 b=4.629 c=6.713 alpha=69.83 beta=69.83 gamma=90.00
Fractional coordinates of all 5 atoms:
Pb (0.000, 0.000, 0.000)
Sb (0.380, 0.380, 0.241)
Sb (0.620, 0.620, 0.759)
Li (0.750, 0.250, 0.500)
Li (0.250, 0.750, 0.500)



Version two
## Li2Sb2Pb (PBE)

Data for a relaxed structure of Li2Sb2Pb.

Unit cell a=8.483 b=8.483 c=3.307 alpha=90.00 beta=90.00 gamma=90.00
Fractional coordinates of all 10 atoms:
Sb (0.822, 0.322, 0.500)
Sb (0.178, 0.678, 0.500)
Sb (0.322, 0.178, 0.500)
Sb (0.678, 0.822, 0.500)
Pb (0.500, 0.500, 0.000)
Pb (0.000, 0.000, 0.000)
Li (0.118, 0.382, 0.000)
Li (0.618, 0.118, 0.000)
Li (0.382, 0.882, 0.000)
Li (0.882, 0.618, 0.000)



Version three
## Li2Sb2Pb (PBE)

Data for a relaxed structure of Li2Sb2Pb.

Unit cell a=4.569 b=4.569 c=7.128 alpha=90.05 beta=90.05 gamma=116.80
Fractional coordinates of all 5 atoms:
Pb (0.000, 0.000, 0.000)
Li (0.171, 0.829, 0.500)
Li (0.829, 0.171, 0.500)
Sb (0.501, 0.501, 0.296)
Sb (0.499, 0.499, 0.704)



Tell me which of them is the most stable. Sure, it is version two.



Version one
## LiSbPb (PBE)

Data for a relaxed structure of LiSbPb.

Unit cell a=5.145 b=5.145 c=5.145 alpha=60.00 beta=60.00 gamma=60.00
Fractional coordinates of all 3 atoms:
Pb (0.500, 0.500, 0.500)
Sb (0.750, 0.750, 0.750)
Li (0.000, 0.000, 0.000)



Version two
## LiSbPb (PBE)

Data for a relaxed structure of LiSbPb.

Unit cell a=5.382 b=5.382 c=3.295 alpha=90.00 beta=90.00 gamma=120.00
Fractional coordinates of all 3 atoms:
Li (0.000, 0.000, 0.001)
Sb (0.333, 0.667, 0.498)
Pb (0.667, 0.333, 0.501)



Version three
## LiSbPb (PBE)

Data for a relaxed structure of LiSbPb.

Unit cell a=5.949 b=5.949 c=5.949 alpha=146.87 beta=136.87 gamma=55.45
Fractional coordinates of all 3 atoms:
Pb (0.335, 0.335, 0.000)
Li (0.027, 0.027, 0.000)
Sb (0.638, 0.638, 0.000)



Version four
## LiSbPb (PBE)

Data for a relaxed structure of LiSbPb.

Unit cell a=4.726 b=4.727 c=7.024 alpha=90.00 beta=89.99 gamma=90.00
Fractional coordinates of all 6 atoms:
Li (0.480, 0.993, 0.879)
Li (0.981, 0.493, 0.879)
Pb (0.481, 0.493, 0.201)
Pb (0.980, 0.993, 0.557)
Sb (0.981, 0.993, 0.117)
Sb (0.481, 0.493, 0.641)



Tell me which of them is the most stable. Sure, it is version four.



Version one
## Li4Sb2Pb (PBE)

Data for a relaxed structure of Li4Sb2Pb.

Unit cell a=4.791 b=4.791 c=8.503 alpha=73.64 beta=73.64 gamma=60.00
Fractional coordinates of all 7 atoms:
Sb (0.249, 0.249, 0.252)
Sb (0.751, 0.751, 0.748)
Li (0.132, 0.132, 0.605)
Li (0.601, 0.601, 0.197)
Li (0.868, 0.868, 0.395)
Li (0.399, 0.399, 0.803)
Pb (0.000, 0.000, 0.000)



Version two
## Li4Sb2Pb (PBE)

Data for a relaxed structure of Li4Sb2Pb.

Unit cell a=5.278 b=5.278 c=6.782 alpha=112.90 beta=112.90 gamma=90.00
Fractional coordinates of all 7 atoms:
Pb (0.000, 0.000, 0.000)
Li (0.750, 0.250, 0.500)
Li (0.500, 0.000, 0.000)
Li (0.000, 0.500, 0.000)
Li (0.250, 0.750, 0.500)
Sb (0.371, 0.371, 0.741)
Sb (0.629, 0.629, 0.259)



Tell me which of them is the most stable. Sure, it is version one.



Version one
## LiTlSbPb (PBE)

Data for a relaxed structure of LiTlSbPb.

Unit cell a=4.700 b=4.700 c=6.694 alpha=89.96 beta=110.39 gamma=120.31
Fractional coordinates of all 4 atoms:
Tl (0.388, 0.057, 0.445)
Pb (0.953, 0.843, 0.796)
Li (0.540, 0.634, 0.174)
Sb (0.811, 0.270, 0.081)



Version two
## LiTlSbPb (PBE)

Data for a relaxed structure of LiTlSbPb.

Unit cell a=5.404 b=5.404 c=5.404 alpha=60.00 beta=60.00 gamma=60.00
Fractional coordinates of all 4 atoms:
Li (0.750, 0.750, 0.750)
Tl (0.000, 0.000, 0.000)
Pb (0.250, 0.250, 0.250)
Sb (0.500, 0.500, 0.500)



Tell me which of them is the most stable. Sure, it is version one.



Version one
## LiScPb2 (PBE)

Data for a relaxed structure of LiScPb2.

Unit cell a=7.782 b=7.782 c=6.381 alpha=52.43 beta=52.43 gamma=90.00
Fractional coordinates of all 8 atoms:
Sc (0.000, 0.000, 0.000)
Sc (0.750, 0.250, 0.500)
Pb (0.375, 0.407, 0.750)
Pb (0.593, 0.125, 0.250)
Pb (0.157, 0.625, 0.250)
Pb (0.875, 0.843, 0.750)
Li (0.500, 0.500, 0.000)
Li (0.250, 0.750, 0.500)



Version two
## LiScPb2 (PBE)

Data for a relaxed structure of LiScPb2.

Unit cell a=4.240 b=4.718 c=4.718 alpha=90.00 beta=90.00 gamma=90.00
Fractional coordinates of all 4 atoms:
Pb (0.000, 0.500, 0.000)
Pb (0.000, 0.000, 0.500)
Li (0.500, 0.500, 0.500)
Sc (0.500, 0.000, 0.000)



Version three
## LiScPb2 (PBE)

Data for a relaxed structure of LiScPb2.

Unit cell a=6.002 b=6.002 c=5.172 alpha=74.91 beta=74.91 gamma=32.94
Fractional coordinates of all 4 atoms:
Sc (0.491, 0.491, 0.593)
Li (0.254, 0.254, 0.168)
Pb (0.753, 0.753, 0.652)
Pb (0.003, 0.003, 0.087)



Tell me which of them is the most stable. Sure, it is version two.